[1]
Here is a relaxed structure of Pm12FeSb6 from the Alexandria database. Energies are from PBE.

ΔE_f (raw), meV/atom: -620
SG: No. 148

```
Pm12FeSb6
1.0
-7.755 -3.294 -2.245
-0.701 -0.568 8.673
-1.750 8.485 -0.988
Sb Pm Fe
6 12 1
direct
0.122 0.644 0.312 Sb
0.356 0.688 0.878 Sb
0.644 0.312 0.122 Sb
0.878 0.356 0.688 Sb
0.688 0.878 0.356 Sb
0.312 0.122 0.644 Sb
0.421 0.555 0.194 Pm
0.691 0.947 0.009 Pm
0.309 0.053 0.991 Pm
0.445 0.806 0.579 Pm
0.991 0.309 0.053 Pm
0.053 0.991 0.309 Pm
0.009 0.691 0.947 Pm
0.806 0.579 0.445 Pm
0.947 0.009 0.691 Pm
0.579 0.445 0.806 Pm
0.555 0.194 0.421 Pm
0.194 0.421 0.555 Pm
0.000 0.000 0.000 Fe
```

[2]
Here is a relaxed structure of PmY4Cd3 from the Alexandria database. Energies are from PBE.

SG: No. 166
ΔH_f (0 K), eV per formula unit: -1.49

```
PmY4Cd3
1.0
5.149 0.000 1.520
2.350 4.582 1.520
-0.021 -0.013 9.554
Y Cd Pm
4 3 1
direct
0.869 0.869 0.392 Y
0.131 0.131 0.608 Y
0.386 0.386 0.841 Y
0.614 0.614 0.159 Y
0.500 0.500 0.500 Cd
0.259 0.259 0.224 Cd
0.741 0.741 0.776 Cd
0.000 0.000 0.000 Pm
```

[3]
Here is a relaxed structure of Pu3Pa2H8 from the Alexandria database. Energies are from PBE.

E_tot, eV/atom: -6.95
SG: No. 65

```
Pu3Pa2H8
1.0
4.135 0.000 0.000
0.000 6.011 1.911
0.000 -0.538 6.285
H Pu Pa
8 3 2
direct
0.000 0.646 0.646 H
0.000 0.124 0.124 H
0.000 0.354 0.354 H
0.500 0.904 0.359 H
0.500 0.359 0.904 H
0.000 0.876 0.876 H
0.500 0.641 0.096 H
0.500 0.096 0.641 H
0.000 0.713 0.287 Pu
0.000 0.287 0.713 Pu
0.500 0.000 0.000 Pu
0.500 0.286 0.286 Pa
0.500 0.714 0.714 Pa
```

[4]
Here is a relaxed structure of Rb2AgSn7 from the Alexandria database. Energies are from PBE.

SG: No. 115
ΔH_f (0 K), eV per formula unit: -1.05

```
Rb2AgSn7
1.0
5.128 0.000 0.000
0.000 5.128 0.000
0.000 0.000 12.687
Rb Sn Ag
2 7 1
direct
0.500 0.000 0.757 Rb
0.000 0.500 0.243 Rb
0.000 0.000 0.500 Sn
0.000 0.500 0.632 Sn
0.000 0.500 0.879 Sn
0.500 0.500 0.500 Sn
0.000 0.000 0.000 Sn
0.500 0.000 0.368 Sn
0.500 0.000 0.121 Sn
0.500 0.500 0.000 Ag
```